# BeCrIn2O6, optimized geometry, DFT GGA+U
# M_tot in μB per cell: 2.0
# Raw total energy in eV/cell: -63.3
data_BeCrIn2O6
_chemical_formula_sum 'Be1 Cr1 In2 O6'
_cell_length_a 5.1285
_cell_length_b 5.1633
_cell_length_c 5.8016
_cell_angle_alpha 116.00
_cell_angle_beta 90.06
_cell_angle_gamma 119.70
_symmetry_space_group_name_H-M 'P 1'
_symmetry_Int_Tables_number 1
loop_
_symmetry_equiv_pos_as_xyz
'x,y,z'
loop_
_atom_site_label
_atom_site_fract_x
_atom_site_fract_y
_atom_site_fract_z
Be1 0.0000 0.0000 0.0000
Cr1 0.4344 0.8606 0.2974
In1 0.2297 0.4627 0.6920
In2 0.7332 0.4603 0.1985
O1 0.0587 0.3415 0.0157
O2 0.1748 0.9662 0.4616
O3 0.2891 0.9596 0.0080
O4 0.5290 0.6997 0.4851
O5 0.6709 0.7318 0.0171
O6 0.7968 0.3151 0.4823

---

# Be2CrIn2O6, optimized geometry, DFT GGA+U
# M_tot in μB per cell: 2.5
# Raw total energy in eV/cell: -69.0
data_Be2CrIn2O6
_chemical_formula_sum 'Be2 Cr1 In2 O6'
_cell_length_a 5.1173
_cell_length_b 5.1173
_cell_length_c 6.2277
_cell_angle_alpha 90.00
_cell_angle_beta 90.00
_cell_angle_gamma 120.00
_symmetry_space_group_name_H-M 'P -3'
_symmetry_Int_Tables_number 147
loop_
_symmetry_equiv_pos_as_xyz
'x,y,z'
'-x,-y,-z'
'-y,x-y,z'
'y,-x+y,-z'
'-x+y,-x,z'
'x-y,x,-z'
loop_
_atom_site_label
_atom_site_fract_x
_atom_site_fract_y
_atom_site_fract_z
Be1 0.3333 0.6667 0.3121
Cr1 0.0000 0.0000 0.5000
In1 0.3333 0.6667 0.8087
O1 0.0563 0.7106 0.3069

---

What is the M_tot in the first record? 2.0 μB per cell

---

Which value of raw total energy does entry 2 give? -69.0 eV/cell